No. 1
VASP calculation (PBE) on a relaxed YTa2Cl crystal.

Cell lengths 3.1330, 5.2775, 5.3574 Å; angles 90.00, 90.00, 90.00 degrees
Fractional coordinates of all 4 atoms:
Cl: 0.5000 0.5000 0.7500
Ta: 0.0000 0.0000 0.0154
Ta: 0.0000 0.0000 0.4846
Y: 0.5000 0.5000 0.2500

Properties
**Raw formation energy**: 0.469 eV per atom
**Density of states at the Fermi level**: 1.03 states/eV/atom
**Energy**: -7.5354 eV/atom
**Magnetization**: 0.00 Bohr magnetons per cell



No. 2
VASP calculation (PBE) on a relaxed Ce6FeCoHg2 crystal.

Cell lengths 7.2259, 7.2259, 7.2022 Å; angles 59.97, 59.97, 90.12 degrees
Each line ends with the local moment (μB).
Fractional coordinates of all 10 atoms:
Ce: 0.2369 0.2369 0.5259  0.37
Ce: 0.7461 0.7453 0.0002  0.41
Ce: 0.2546 0.7461 0.0000  0.42
Ce: 0.7454 0.2539 0.0000  0.42
Ce: 0.2539 0.2547 0.9998  0.41
Ce: 0.7631 0.7631 0.4741  0.37
Fe: 0.0000 0.0000 0.0000  -0.10
Co: 0.5000 0.5000 0.0000  -0.06
Hg: 0.7500 0.2500 0.5000  0.00
Hg: 0.2500 0.7500 0.5000  0.00

Properties
**Density of states at the Fermi level**: 2.92 states/eV/atom
**Energy relative to the elements**: -126.0 meV/atom
**Energy**: -5.3035 eV/atom
**Magnetization**: 2.64 Bohr magnetons per cell



No. 3
VASP calculation (PBE) on a relaxed HfGe2P crystal.

Cell lengths 4.7119, 4.7119, 4.7119 Å; angles 60.00, 60.00, 60.00 degrees
Fractional coordinates of all 4 atoms:
P: 0.0000 0.0000 0.0000
Ge: 0.2500 0.2500 0.2500
Ge: 0.7500 0.7500 0.7500
Hf: 0.5000 0.5000 0.5000

Properties
**Density of states at the Fermi level**: 1.32 states/eV/atom
**Energy relative to the elements**: 326.0 meV/atom
**Energy**: -5.8235 eV/atom
**Magnetization**: 0.00 Bohr magnetons per cell



No. 4
VASP calculation (PBE) on a relaxed Mo3Au2 crystal.

Cell lengths 12.2020, 12.2020, 12.2020 Å; angles 13.25, 13.25, 13.25 degrees
Fractional coordinates of all 5 atoms:
Mo: 0.0000 0.0000 0.0000
Mo: 0.7999 0.7999 0.7999
Mo: 0.2001 0.2001 0.2001
Au: 0.6006 0.6006 0.6006
Au: 0.3994 0.3994 0.3994

Properties
**Density of states at the Fermi level**: 0.56 states/eV/atom
**Energy relative to the elements**: 349.1 meV/atom
**Energy**: -7.4605 eV/atom
**Magnetization**: 0.00 Bohr magnetons per cell



magnetization of number 4 (Mo3Au2)?
0.00 Bohr magnetons per cell



The highest energy belongs to which entry?
Ce6FeCoHg2



Look up the magnetization of the first one.
0.00 Bohr magnetons per cell